# Li2IBr

An optimized crystal structure of Li2IBr (PBE, the Alexandria database).

Distance to the lowest polymorph of the same formula   307 meV/atom
E_form (uncorrected)   -4.3 eV/f.u.

abc: 5.2311 5.2311 5.2311
angles: 60.00 60.00 60.00
Fractional positions:
Li1 0.2500 0.2500 0.2500
Li2 0.7500 0.7500 0.7500
I1 0.0000 0.0000 0.0000
Br1 0.5000 0.5000 0.5000

---

# P2RhPb

An optimized crystal structure of P2RhPb (PBE, the Alexandria database).

ΔH_f (0 K)   0.519 eV per atom

abc: 3.8237 4.1943 4.5402
angles: 90.00 90.00 90.00
Fractional positions:
P1 0.0000 0.0000 0.0000
P2 0.5000 0.5000 0.0000
Rh1 0.0000 0.5000 0.5000
Pb1 0.5000 0.0000 0.5000

---

Number 1: total magnetization 0.000 μB/f.u., uncorrected energy -11.32 eV/f.u.. Number 2: total magnetization 0.000 μB/f.u., uncorrected energy -19.80 eV/f.u..